No. 1
First-principles (GGA-PBE) data for a relaxed Ca2Y2Pd15 crystal, as listed in Alexandria via LeMat-Bulk.

a = 7.126 Å, b = 7.126 Å, c = 7.126 Å
α = 81.24°, β = 81.24°, γ = 81.24°
Sites, in units of the cell vectors:
Ca 0.136 0.136 0.136
Ca 0.864 0.864 0.864
Y 0.390 0.390 0.390
Y 0.610 0.610 0.610
Pd 0.000 0.500 0.500
Pd 0.150 0.150 0.658
Pd 0.150 0.658 0.150
Pd 0.198 0.500 0.802
Pd 0.198 0.802 0.500
Pd 0.342 0.850 0.850
Pd 0.500 0.000 0.500
Pd 0.500 0.198 0.802
Pd 0.500 0.500 0.000
Pd 0.500 0.802 0.198
Pd 0.658 0.150 0.150
Pd 0.802 0.198 0.500
Pd 0.802 0.500 0.198
Pd 0.850 0.342 0.850
Pd 0.850 0.850 0.342

SG: No. 166
ΔH_f (0 K), eV per atom: -0.491



No. 2
First-principles (GGA-PBE) data for a relaxed BaSiIrRh2 crystal, as listed in Alexandria via LeMat-Bulk.

a = 4.451 Å, b = 4.451 Å, c = 5.716 Å
α = 90.00°, β = 90.00°, γ = 90.00°
Sites, in units of the cell vectors:
Ba 0.000 0.000 0.000
Si 0.000 0.000 0.500
Ir 0.500 0.500 0.000
Rh 0.000 0.500 0.500
Rh 0.500 0.000 0.500

E_form (uncorrected), eV/atom: 0.709
SG: No. 123



No. 3
First-principles (GGA-PBE) data for a relaxed CdPd3Au2 crystal, as listed in Alexandria via LeMat-Bulk.

a = 6.730 Å, b = 6.730 Å, c = 7.453 Å
α = 90.00°, β = 90.00°, γ = 142.96°
Sites, in units of the cell vectors:
Cd 0.163 0.837 0.000
Cd 0.837 0.163 0.000
Pd 0.000 0.000 0.253
Pd 0.000 0.000 0.747
Pd 0.333 0.667 0.248
Pd 0.333 0.667 0.752
Pd 0.667 0.333 0.248
Pd 0.667 0.333 0.752
Au 0.168 0.832 0.500
Au 0.500 0.500 0.000
Au 0.500 0.500 0.500
Au 0.832 0.168 0.500

Relative energy among the computed polymorphs, meV per atom: 20.7
SG: No. 65
ΔH_f (0 K), eV per atom: -0.208



No. 4
First-principles (GGA-PBE) data for a relaxed YCd6 crystal, as listed in Alexandria via LeMat-Bulk.

a = 6.666 Å, b = 6.666 Å, c = 6.666 Å
α = 109.47°, β = 109.47°, γ = 109.47°
Sites, in units of the cell vectors:
Y 0.000 0.000 0.000
Cd 0.250 0.500 0.750
Cd 0.250 0.750 0.500
Cd 0.500 0.250 0.750
Cd 0.500 0.750 0.250
Cd 0.750 0.250 0.500
Cd 0.750 0.500 0.250

Relative energy among the computed polymorphs, meV per atom: 628.8
SG: No. 229
ΔH_f (0 K), eV per atom: 0.462